[1]
The following is a PBE calculation of a relaxed structure of NdUH2I4, from OQMD via LeMat-Bulk.

Summary:
space-group type = P-6m2
E = -4.58 eV/atom
magnetic moment = 3.00 Bohr magnetons per cell

Cell: 4.049 4.049 16.512 Å, 90.00 90.00 120.00°
Last column: magnetic moment on the atom in μB.
Atoms (fractional coordinates):
I1 0.667 0.333 0.133  0.00
I2 0.667 0.333 0.867  0.00
I3 0.333 0.667 0.631  -0.04
H1 0.333 0.667 0.000  0.00
Nd1 0.000 0.000 0.000  0.00
U1 0.000 0.000 0.500  2.74
I4 0.333 0.667 0.369  -0.04
H2 0.667 0.333 0.500  -0.02

***

[2]
The following is a PBE calculation of a relaxed structure of PrNpH2I4, from OQMD via LeMat-Bulk.

Summary:
space-group type = P-6m2
E = -4.80 eV/atom
magnetic moment = 4.00 Bohr magnetons per cell

Cell: 4.099 4.099 16.414 Å, 90.00 90.00 120.00°
Last column: magnetic moment on the atom in μB.
Atoms (fractional coordinates):
H1 0.333 0.667 0.000  -0.02
I1 0.333 0.667 0.633  0.00
H2 0.667 0.333 0.500  0.00
I2 0.667 0.333 0.871  -0.05
Pr1 0.000 0.000 0.500  0.00
I3 0.333 0.667 0.367  0.00
Np1 0.000 0.000 0.000  3.93
I4 0.667 0.333 0.129  -0.05

***

[3]
The following is a PBE calculation of a relaxed structure of PaHI2, from OQMD via LeMat-Bulk.

Summary:
space-group type = Cm
E = -4.76 eV/atom
magnetic moment = 2.00 Bohr magnetons per cell

Cell: 3.975 3.975 8.707 Å, 103.04 103.04 60.00°
Last column: magnetic moment on the atom in μB.
Atoms (fractional coordinates):
I1 0.787 0.787 0.359  -0.02
I2 0.963 0.963 0.891  -0.02
Pa1 0.542 0.542 0.625  1.65
H1 0.208 0.208 0.625  -0.01

***

[4]
The following is a PBE calculation of a relaxed structure of PrHI2, from OQMD via LeMat-Bulk.

Summary:
space-group type = R3m
E = -4.04 eV/atom
magnetic moment = 0.00 Bohr magnetons per cell

Cell: 4.168 4.168 8.630 Å, 103.99 103.99 60.00°
Atoms (fractional coordinates):
I1 0.025 0.025 0.575
H1 0.271 0.271 0.313
Pr1 0.604 0.604 0.312
I2 0.850 0.850 0.050

***

[5]
The following is a PBE calculation of a relaxed structure of PrTmH2I4, from OQMD via LeMat-Bulk.

Summary:
space-group type = P-6m2
E = -3.95 eV/atom
magnetic moment = 0.00 Bohr magnetons per cell

Cell: 4.060 4.060 16.649 Å, 90.00 90.00 120.00°
Atoms (fractional coordinates):
Tm1 0.000 0.000 0.500
I1 0.333 0.667 0.133
I2 0.667 0.333 0.376
H1 0.333 0.667 0.500
Pr1 0.000 0.000 0.000
I3 0.333 0.667 0.867
I4 0.667 0.333 0.624
H2 0.667 0.333 0.000

***

[6]
The following is a PBE calculation of a relaxed structure of TbTmH2I4, from OQMD via LeMat-Bulk.

Summary:
space-group type = P-6m2
E = -3.92 eV/atom
magnetic moment = 0.00 Bohr magnetons per cell

Cell: 3.979 3.979 16.540 Å, 90.00 90.00 120.00°
Atoms (fractional coordinates):
I1 0.333 0.667 0.871
Tm1 0.000 0.000 0.500
H1 0.667 0.333 0.000
Tb1 0.000 0.000 0.000
I2 0.333 0.667 0.129
I3 0.667 0.333 0.374
I4 0.667 0.333 0.626
H2 0.333 0.667 0.500

***

[7]
The following is a PBE calculation of a relaxed structure of YTmH2I4, from OQMD via LeMat-Bulk.

Summary:
space-group type = P-6m2
E = -4.15 eV/atom
magnetic moment = 0.00 Bohr magnetons per cell

Cell: 3.970 3.970 16.510 Å, 90.00 90.00 120.00°
Atoms (fractional coordinates):
I1 0.667 0.333 0.126
H1 0.667 0.333 0.500
Tm1 0.000 0.000 0.000
I2 0.333 0.667 0.629
I3 0.667 0.333 0.874
I4 0.333 0.667 0.371
Y1 0.000 0.000 0.500
H2 0.333 0.667 0.000

***

[8]
The following is a PBE calculation of a relaxed structure of In2NiH6Ir, from OQMD via LeMat-Bulk.

Summary:
space-group type = Fm-3m
E = -3.79 eV/atom
magnetic moment = 0.00 Bohr magnetons per cell

Cell: 5.116 5.116 5.116 Å, 60.00 60.00 60.00°
Atoms (fractional coordinates):
H1 0.749 0.251 0.749
In1 0.750 0.750 0.750
H2 0.251 0.749 0.749
Ir1 0.000 0.000 0.000
H3 0.749 0.251 0.251
H4 0.251 0.251 0.749
Ni1 0.500 0.500 0.500
In2 0.250 0.250 0.250
H5 0.251 0.749 0.251
H6 0.749 0.749 0.251

***

[9]
The following is a PBE calculation of a relaxed structure of InNi3H, from OQMD via LeMat-Bulk.

Summary:
space-group type = Pm-3m
E = -4.73 eV/atom
magnetic moment = 0.01 Bohr magnetons per cell

Cell: 3.762 3.762 3.762 Å, 90.00 90.00 90.00°
Atoms (fractional coordinates):
In1 0.500 0.500 0.500
H1 0.000 0.000 0.000
Ni1 0.000 0.500 0.000
Ni2 0.500 0.000 0.000
Ni3 0.000 0.000 0.500

***

[10]
The following is a PBE calculation of a relaxed structure of Sr2InNiH6, from OQMD via LeMat-Bulk.

Summary:
space-group type = Fm-3m
E = -3.43 eV/atom
magnetic moment = 0.00 Bohr magnetons per cell

Cell: 5.563 5.563 5.563 Å, 60.00 60.00 60.00°
Atoms (fractional coordinates):
In1 0.500 0.500 0.500
Sr1 0.750 0.750 0.750
H1 0.790 0.210 0.210
H2 0.790 0.790 0.210
H3 0.210 0.790 0.210
H4 0.210 0.790 0.790
Sr2 0.250 0.250 0.250
Ni1 0.000 0.000 0.000
H5 0.790 0.210 0.790
H6 0.210 0.210 0.790

***

[11]
The following is a PBE calculation of a relaxed structure of In8HPd2, from OQMD via LeMat-Bulk.

Summary:
space-group type = P4/mmm
E = -3.18 eV/atom

Cell: 4.443 4.443 11.971 Å, 90.00 90.00 90.00°
Atoms (fractional coordinates):
In1 0.500 0.000 0.500
In2 0.000 0.500 0.873
H1 0.000 0.000 0.000
Pd1 0.000 0.000 0.304
In3 0.500 0.500 0.312
In4 0.000 0.500 0.500
Pd2 0.000 0.000 0.696
In5 0.000 0.500 0.127
In6 0.500 0.000 0.127
In7 0.500 0.500 0.688
In8 0.500 0.000 0.873

***

[12]
The following is a PBE calculation of a relaxed structure of InHPdPt2, from OQMD via LeMat-Bulk.

Summary:
space-group type = P4/mmm
E = -5.01 eV/atom
magnetic moment = 0.00 Bohr magnetons per cell

Cell: 4.060 4.060 4.181 Å, 90.00 90.00 90.00°
Atoms (fractional coordinates):
In1 0.500 0.500 0.500
Pd1 0.000 0.000 0.500
Pt1 0.000 0.500 0.000
H1 0.000 0.000 0.000
Pt2 0.500 0.000 0.000

***

[13]
The following is a PBE calculation of a relaxed structure of InHPd2Pt, from OQMD via LeMat-Bulk.

Summary:
space-group type = P4/mmm
E = -4.90 eV/atom
magnetic moment = 0.00 Bohr magnetons per cell

Cell: 4.109 4.109 4.033 Å, 90.00 90.00 90.00°
Atoms (fractional coordinates):
H1 0.000 0.000 0.000
Pd1 0.000 0.500 0.000
Pt1 0.000 0.000 0.500
In1 0.500 0.500 0.500
Pd2 0.500 0.000 0.000

***

[14]
The following is a PBE calculation of a relaxed structure of HIr, from OQMD via LeMat-Bulk.

Summary:
space-group type = P-6m2
E = -5.69 eV/atom
magnetic moment = 0.00 Bohr magnetons per cell

Cell: 2.723 2.723 2.784 Å, 90.00 90.00 120.00°
Atoms (fractional coordinates):
Ir1 0.333 0.667 0.250
H1 0.667 0.333 0.750

***

[15]
The following is a PBE calculation of a relaxed structure of H3Ir, from OQMD via LeMat-Bulk.

Summary:
space-group type = C2/m
E = -4.55 eV/atom
magnetic moment = 0.00 Bohr magnetons per cell
E above lowest polymorph = 34 meV/atom

Cell: 4.448 4.448 4.366 Å, 99.74 99.74 120.08°
Atoms (fractional coordinates):
H1 0.920 0.581 0.244
H2 0.080 0.419 0.756
Ir1 0.833 0.167 0.000
H3 0.581 0.920 0.244
H4 0.756 0.756 0.757
H5 0.419 0.080 0.756
Ir2 0.167 0.833 0.000
H6 0.244 0.244 0.243

***

[16]
The following is a PBE calculation of a relaxed structure of HIr, from OQMD via LeMat-Bulk.

Summary:
space-group type = P6_3/mmc
E = -5.68 eV/atom
magnetic moment = 0.00 Bohr magnetons per cell

Cell: 2.746 2.746 5.361 Å, 90.00 90.00 120.00°
Atoms (fractional coordinates):
Ir1 0.000 0.000 0.000
Ir2 0.000 0.000 0.500
H1 0.667 0.333 0.750
H2 0.333 0.667 0.250

***

[17]
The following is a PBE calculation of a relaxed structure of H3Ir, from OQMD via LeMat-Bulk.

Summary:
space-group type = P6_3cm
E = -4.45 eV/atom
magnetic moment = 0.01 Bohr magnetons per cell
E above lowest polymorph = 134 meV/atom

Cell: 5.064 5.064 8.125 Å, 90.00 90.00 120.00°
Atoms (fractional coordinates):
H1 0.667 0.333 0.766
Ir1 0.665 0.000 0.163
H2 0.000 0.340 0.466
H3 0.000 0.000 0.263
H4 0.660 0.000 0.966
H5 0.328 0.000 0.071
H6 0.328 0.328 0.571
H7 0.333 0.667 0.266
H8 0.000 0.672 0.571
Ir2 0.335 0.335 0.163
Ir3 0.000 0.665 0.163
H9 0.333 0.667 0.766
Ir4 0.000 0.335 0.663
H10 0.000 0.328 0.071
H11 0.000 0.660 0.966
H12 0.672 0.000 0.571
H13 0.660 0.660 0.466
H14 0.667 0.333 0.266
H15 0.340 0.340 0.966
Ir5 0.665 0.665 0.663
H16 0.000 0.000 0.763
H17 0.672 0.672 0.071
H18 0.340 0.000 0.466
Ir6 0.335 0.000 0.663

***

[18]
The following is a PBE calculation of a relaxed structure of H3Ir, from OQMD via LeMat-Bulk.

Summary:
space-group type = R-3c
E = -4.58 eV/atom
magnetic moment = 0.00 Bohr magnetons per cell
E above lowest polymorph = 0 meV/atom

Cell: 4.315 4.315 4.315 Å, 57.80 57.80 57.80°
Atoms (fractional coordinates):
H1 0.045 0.455 0.750
H2 0.545 0.250 0.955
Ir1 0.000 0.000 0.000
H3 0.750 0.045 0.455
H4 0.250 0.955 0.545
Ir2 0.500 0.500 0.500
H5 0.955 0.545 0.250
H6 0.455 0.750 0.045

***

[19]
The following is a PBE calculation of a relaxed structure of HIr, from OQMD via LeMat-Bulk.

Summary:
space-group type = F-43m
E = -5.68 eV/atom
magnetic moment = 0.02 Bohr magnetons per cell

Cell: 2.963 2.963 2.963 Å, 60.00 60.00 60.00°
Atoms (fractional coordinates):
Ir1 0.250 0.250 0.250
H1 0.000 0.000 0.000

***

[20]
The following is a PBE calculation of a relaxed structure of K3H6Ir, from OQMD via LeMat-Bulk.

Summary:
space-group type = Fm-3m
E = -3.61 eV/atom
magnetic moment = 0.00 Bohr magnetons per cell

Cell: 5.854 5.854 5.854 Å, 60.00 60.00 60.00°
Atoms (fractional coordinates):
H1 0.797 0.203 0.797
H2 0.797 0.203 0.203
H3 0.203 0.797 0.797
H4 0.203 0.203 0.797
K1 0.750 0.750 0.750
H5 0.797 0.797 0.203
K2 0.500 0.500 0.500
Ir1 0.000 0.000 0.000
K3 0.250 0.250 0.250
H6 0.203 0.797 0.203

***

[21]
The following is a PBE calculation of a relaxed structure of KH4Ir, from OQMD via LeMat-Bulk.

Summary:
space-group type = I4_1/a
E = -3.90 eV/atom
magnetic moment = 0.00 Bohr magnetons per cell

Cell: 5.412 5.412 5.412 Å, 119.31 119.31 91.20°
Atoms (fractional coordinates):
K1 0.000 0.000 0.000
H1 0.254 0.678 0.793
K2 0.750 0.250 0.500
H2 0.496 0.572 0.707
H3 0.865 0.789 0.293
H4 0.885 0.461 0.207
H5 0.322 0.115 0.575
H6 0.211 0.504 0.075
Ir1 0.500 0.500 0.000
Ir2 0.250 0.750 0.500
H7 0.428 0.135 0.925
H8 0.539 0.746 0.425

***

[22]
The following is a PBE calculation of a relaxed structure of K2H6IrPb, from OQMD via LeMat-Bulk.

Summary:
space-group type = Fm-3m
E = -3.64 eV/atom
magnetic moment = 0.00 Bohr magnetons per cell

Cell: 5.785 5.785 5.785 Å, 60.00 60.00 60.00°
Atoms (fractional coordinates):
H1 0.790 0.210 0.210
K1 0.250 0.250 0.250
H2 0.210 0.790 0.790
H3 0.210 0.790 0.210
Ir1 0.000 0.000 0.000
H4 0.210 0.210 0.790
Pb1 0.500 0.500 0.500
K2 0.750 0.750 0.750
H5 0.790 0.210 0.790
H6 0.790 0.790 0.210

***

[23]
The following is a PBE calculation of a relaxed structure of K2SrH6Ir, from OQMD via LeMat-Bulk.

Summary:
space-group type = Fm-3m
E = -3.56 eV/atom
magnetic moment = 0.00 Bohr magnetons per cell

Cell: 5.901 5.901 5.901 Å, 60.00 60.00 60.00°
Atoms (fractional coordinates):
H1 0.794 0.794 0.206
H2 0.206 0.794 0.206
K1 0.250 0.250 0.250
H3 0.206 0.206 0.794
K2 0.750 0.750 0.750
Sr1 0.500 0.500 0.500
H4 0.794 0.206 0.206
H5 0.206 0.794 0.794
H6 0.794 0.206 0.794
Ir1 0.000 0.000 0.000

***

[24]
The following is a PBE calculation of a relaxed structure of K2TaH6Ir, from OQMD via LeMat-Bulk.

Summary:
space-group type = P4/mmm
E = -4.19 eV/atom
magnetic moment = 0.13 Bohr magnetons per cell

Cell: 2.997 2.997 11.747 Å, 90.00 90.00 90.00°
Last column: magnetic moment on the atom in μB.
Atoms (fractional coordinates):
H1 0.500 0.000 0.892  0.00
K1 0.500 0.500 0.284  0.00
H2 0.000 0.500 0.108  0.00
Ir1 0.000 0.000 0.500  0.10
K2 0.500 0.500 0.716  0.00
H3 0.500 0.500 0.500  0.00
H4 0.000 0.500 0.892  0.00
H5 0.500 0.500 0.000  0.00
H6 0.500 0.000 0.108  0.00
Ta1 0.000 0.000 0.000  0.03